Compound: Rb2Cu2SbSe4
Source: Alexandria via LeMat-Bulk
Functional: PBE
Structure: relaxed

Cell: 8.0285 8.0285 8.1660 Å, 109.72 109.72 29.43°
Fractional positions:
Rb1 0.1333 0.1333 0.0500
Rb2 0.8667 0.8667 0.9500
Cu1 0.3067 0.3067 0.5092
Cu2 0.6933 0.6933 0.4908
Sb1 0.0000 0.0000 0.5000
Se1 0.1976 0.1976 0.6702
Se2 0.4711 0.4711 0.7220
Se3 0.5289 0.5289 0.2780
Se4 0.8024 0.8024 0.3298

**Energy**: -3.710 eV/atom
**Mass density**: 5.039 Mg/m³
**SG**: C2/m, No. 12
**DOS(E_F)**: 5.6 states/eV per cell

---

Compound: TbTlGe2Br8
Source: Alexandria via LeMat-Bulk
Functional: PBE
Structure: relaxed

Cell: 6.6778 7.2832 9.2918 Å, 85.87 88.77 85.96°
Fractional positions:
Tb1 0.0000 0.0000 0.0000
Tl1 0.0000 0.0000 0.5000
Ge1 0.4572 0.4518 0.7597
Ge2 0.5428 0.5482 0.2403
Br1 0.2301 0.8215 0.7907
Br2 0.2354 0.3181 0.9713
Br3 0.2653 0.8560 0.2216
Br4 0.2704 0.3602 0.5539
Br5 0.7296 0.6398 0.4461
Br6 0.7347 0.1440 0.7784
Br7 0.7646 0.6819 0.0287
Br8 0.7699 0.1785 0.2093

**Energy**: -3.483 eV/atom
**Mass density**: 4.240 Mg/m³
**SG**: P-1, No. 2
**DOS(E_F)**: 0.0 states/eV per cell

---

Compound: Li6SnAu
Source: Alexandria via LeMat-Bulk
Functional: PBE
Structure: relaxed

Cell: 5.7891 5.7891 4.7744 Å, 90.00 90.00 120.00°
Fractional positions:
Li1 0.0153 0.5076 0.0000
Li2 0.3210 0.1605 0.5000
Li3 0.4924 0.5076 0.0000
Li4 0.4924 0.9847 0.0000
Li5 0.8395 0.1605 0.5000
Li6 0.8395 0.6790 0.5000
Sn1 0.3333 0.6667 0.5000
Au1 0.0000 0.0000 0.0000

**ΔE_f**: -362 meV/atom
**Energy**: -2.707 eV/atom
**Mass density**: 4.280 Mg/m³
**SG**: P-6m2, No. 187
**DOS(E_F)**: 3.1 states/eV per cell
**Energy above the most stable polymorph in this dataset**: 0.036 eV/atom

---

Compound: Zn2TeW
Source: Alexandria via LeMat-Bulk
Functional: PBE
Structure: relaxed

Cell: 3.4670 3.4670 5.8644 Å, 90.00 90.00 90.00°
Fractional positions:
Zn1 0.0000 0.0000 0.0000
Zn2 0.5000 0.5000 0.2083
Te1 0.0000 0.0000 0.5141
W1 0.5000 0.5000 0.7551

**Energy**: -4.291 eV/atom
**Mass density**: 10.418 Mg/m³
**SG**: P4mm, No. 99
**DOS(E_F)**: 1.7 states/eV per cell

---

Please write out number 4 again, unchanged.
Compound: Zn2TeW
Source: Alexandria via LeMat-Bulk
Functional: PBE
Structure: relaxed

Cell: 3.4670 3.4670 5.8644 Å, 90.00 90.00 90.00°
Fractional positions:
Zn1 0.0000 0.0000 0.0000
Zn2 0.5000 0.5000 0.2083
Te1 0.0000 0.0000 0.5141
W1 0.5000 0.5000 0.7551

**Energy**: -4.291 eV/atom
**Mass density**: 10.418 Mg/m³
**SG**: P4mm, No. 99
**DOS(E_F)**: 1.7 states/eV per cell